A plane-wave DFT calculation with PBE was carried out for a relaxed Li2Nd2ErGe2 crystal. Values from VASP.

Geometry as Quantum ESPRESSO input:
```
&SYSTEM
  ibrav = 0, nat = 7, ntyp = 4
/
ATOMIC_SPECIES
Li 6.94 Li.upf
Nd 144.24 Nd.upf
Er 167.26 Er.upf
Ge 72.64 Ge.upf
ATOMIC_POSITIONS crystal
Li 0.113 0.113 0.113
Li 0.887 0.887 0.887
Nd 0.378 0.378 0.378
Nd 0.622 0.622 0.622
Er 0.500 0.500 0.500
Ge 0.227 0.227 0.227
Ge 0.773 0.773 0.773
CELL_PARAMETERS angstrom
2.213 1.278 9.670
-2.213 1.278 9.670
0.000 -2.555 9.670
```


A plane-wave DFT calculation with PBE was carried out for a relaxed Li2NdErGe2 crystal. Values from VASP.

Geometry as Quantum ESPRESSO input:
```
&SYSTEM
  ibrav = 0, nat = 6, ntyp = 4
/
ATOMIC_SPECIES
Li 6.94 Li.upf
Nd 144.24 Nd.upf
Er 167.26 Er.upf
Ge 72.64 Ge.upf
ATOMIC_POSITIONS crystal
Li 0.333 0.667 0.217
Li 0.667 0.333 0.783
Nd 0.000 0.000 0.500
Er 0.000 0.000 0.000
Ge 0.333 0.667 0.764
Ge 0.667 0.333 0.236
CELL_PARAMETERS angstrom
4.443 0.000 0.000
-2.222 3.848 0.000
0.000 0.000 7.313
```


A plane-wave DFT calculation with PBE was carried out for a relaxed LiEr2Ni4Ge3 crystal. Values from VASP.

Geometry as Quantum ESPRESSO input:
```
&SYSTEM
  ibrav = 0, nat = 10, ntyp = 4
/
ATOMIC_SPECIES
Li 6.94 Li.upf
Er 167.26 Er.upf
Ni 58.69 Ni.upf
Ge 72.64 Ge.upf
ATOMIC_POSITIONS crystal
Li 0.000 0.000 0.000
Er 0.000 0.500 0.748
Er 0.500 0.000 0.252
Ni 0.000 0.000 0.500
Ni 0.000 0.500 0.132
Ni 0.500 0.000 0.868
Ni 0.500 0.500 0.500
Ge 0.000 0.500 0.367
Ge 0.500 0.000 0.633
Ge 0.500 0.500 0.000
CELL_PARAMETERS angstrom
4.005 0.000 0.000
0.000 4.005 0.000
0.000 0.000 9.804
```


A plane-wave DFT calculation with PBE was carried out for a relaxed LiErNi2Ge2 crystal. Values from VASP.

Geometry as Quantum ESPRESSO input:
```
&SYSTEM
  ibrav = 0, nat = 6, ntyp = 4
/
ATOMIC_SPECIES
Li 6.94 Li.upf
Er 167.26 Er.upf
Ni 58.69 Ni.upf
Ge 72.64 Ge.upf
ATOMIC_POSITIONS crystal
Li 0.000 0.000 0.000
Er 0.000 0.000 0.500
Ni 0.333 0.667 0.843
Ni 0.667 0.333 0.157
Ge 0.333 0.667 0.218
Ge 0.667 0.333 0.782
CELL_PARAMETERS angstrom
4.081 0.000 0.000
-2.040 3.534 0.000
0.000 0.000 6.461
```


Calculated formation energy in order - -0.48, -0.68, -0.61, -0.61 eV per atom
Calculated Fermi-level density of states in order - 4.51, 1.29, 6.93, 2.45 states/eV per cell